# 1
CoOs: relaxed, PBE.

Structure (extended XYZ):
```
2
Lattice="0.000 2.601 2.601 2.601 0.000 2.601 2.601 2.601 0.000" Properties=species:S:1:pos:R:3 pbc="T T T"
Co 0.000 0.000 0.000
Os 3.901 3.901 3.901
```

crystal system: cubic
SG: F-43m, No. 216

=====

# 2
Pr3Sm5Y2: relaxed, PBE.

Structure (extended XYZ):
```
20
Lattice="-6.141 8.678 3.278 6.141 -8.678 3.278 6.141 8.678 -3.278" Properties=species:S:1:pos:R:3 pbc="T T T"
Pr 7.201 2.926 0.000
Pr 0.000 0.000 1.639
Pr 1.060 5.752 0.000
Pr 5.081 2.926 3.278
Pr 0.000 0.000 4.917
Pr -1.060 5.752 3.278
Sm 2.917 2.903 0.000
Sm 3.093 0.000 1.639
Sm 6.141 0.000 1.639
Sm 9.190 0.000 1.639
Sm 2.917 -2.903 3.278
Sm 3.225 11.581 0.000
Sm -3.049 8.678 1.639
Sm 0.000 8.678 1.639
Sm 3.049 8.678 1.639
Sm 3.225 5.775 3.278
Y 4.984 -5.746 3.278
Y 4.984 5.746 0.000
Y 1.157 2.932 3.278
Y 1.157 14.424 0.000
```

ΔE to the lowest computed polymorph: 0.088 eV per atom
crystal system: orthorhombic
SG: Ibam, No. 72

=====

# 3
Sr2Li2Mg: relaxed, PBE.

Structure (extended XYZ):
```
10
Lattice="9.527 0.000 0.000 0.000 9.527 0.000 0.000 0.000 4.129" Properties=species:S:1:pos:R:3 pbc="T T T"
Sr 1.509 3.255 0.000
Sr 3.255 8.019 0.000
Sr 6.272 1.509 0.000
Sr 8.019 6.272 0.000
Li 1.275 6.039 2.065
Li 3.489 1.275 2.065
Li 6.039 8.252 2.065
Li 8.252 3.489 2.065
Mg 0.000 0.000 0.000
Mg 4.764 4.764 0.000
```

ΔE to the lowest computed polymorph: 0.229 eV per atom
crystal system: tetragonal
SG: P4/mbm, No. 127

=====

Number 1: total DFT energy (no corrections) -0.5743 Ry per atom, density of states at the Fermi level 2.35 states/eV/cell, formation energy from the elements 1.35 eV per atom. Number 2: total DFT energy (no corrections) -0.3541 Ry per atom, density of states at the Fermi level 29.30 states/eV/cell, formation energy from the elements 0.27 eV per atom. Number 3: total DFT energy (no corrections) -0.1137 Ry per atom, density of states at the Fermi level 5.46 states/eV/cell, formation energy from the elements 0.21 eV per atom.